YTa2Cu, relaxed, DFT PBE; ΔE_f = 1.6 eV per formula unit; final energy = -32.6 eV per cell; polymorph energy (0 for the lowest one) = 0.225 eV per atom
1.0
-0.161 -3.403 -3.607
4.248 -1.010 3.940
-1.204 -2.235 1.690
Cu Ta Y
1 2 1
Direct
0.500 0.500 0.000
0.000 0.000 0.000
0.500 0.000 0.500
0.000 0.500 0.500